(1)
Entry from Alexandria: a relaxed Y2CuHg crystal (PBE-GGA).

It has space group P4mm (No. 99), with a = 3.782 Å, b = 3.782 Å, c = 6.844 Å, α = 90.00°, β = 90.00° and γ = 90.00°. The asymmetric unit holds Y at (0.000, 0.000, 0.000), Y at (0.500, 0.500, 0.340), Cu at (0.000, 0.000, 0.540) and Hg at (0.500, 0.500, 0.777).

The calculation puts the density of states at the Fermi level at 0.6145 states/eV per atom. The uncorrected energy is -18.084 eV/cell. The calculation puts the formation energy at -0.189 eV per atom.

=====

(2)
Entry from Alexandria: a relaxed Tb4CO4 crystal (PBE-GGA).

It has space group I-42m (No. 121), with a = 5.654 Å, b = 5.654 Å, c = 10.260 Å, α = 90.00°, β = 90.00° and γ = 90.00°. The asymmetric unit holds Tb at (0.219, 0.219, 0.383), C at (0.000, 0.000, 0.500), O at (0.000, 0.000, 0.221) and O at (0.000, 0.500, 0.000).

The calculation puts the density of states at the Fermi level at 0.2784 states/eV per atom. The uncorrected energy is -135.455 eV/cell. As for the formation energy (no corrections): -2.239 eV/atom.